Compound: WCBrF2
Source: Alexandria via LeMat-Bulk
Functional: PBE+U
Structure: optimized geometry

Results
- raw total energy (eV/atom) = -3.12

a b c (Å): 3.9593 3.9593 5.7521
angles (deg): 90.00 90.00 90.00
Closest atoms and distances in Å follow each position.
Space group P4/mmm (No. 123)
Symmetry-distinct sites (fractional):
W 0.0000 0.0000 0.0000 [1 per cell]  4 C 2.80, 2 Br 2.88
C 0.5000 0.5000 0.0000 [1 per cell]  4 W 2.80
Br 0.0000 0.0000 0.5000 [1 per cell]  4 F 1.98
F 0.0000 0.5000 0.5000 [2 per cell]  2 Br 1.98